Record 1
## Rb2PdPb2 (PBE)

Data for a relaxed Rb2PdPb2 crystal.

Crystal system: monoclinic
Formation enthalpy at 0 K: -136 meV per atom
Symmetry: C2/m, No. 12

Cell: 7.326 7.326 12.772 Å, 119.66 119.66 40.52°
Element x y z (fractional)
Rb  0.023  0.023  0.165
Rb  0.203  0.203  0.607
Rb  0.797  0.797  0.393
Rb  0.977  0.977  0.835
Pd  0.299  0.299  0.152
Pd  0.701  0.701  0.848
Pb  0.297  0.297  0.933
Pb  0.499  0.499  0.377
Pb  0.501  0.501  0.623
Pb  0.703  0.703  0.067

---

Record 2
## RbPd2Pb9 (PBE)

Data for a relaxed RbPd2Pb9 crystal.

Crystal system: tetragonal
Formation enthalpy at 0 K: -95 meV per atom
Symmetry: I4_1/amd, No. 141

Cell: 10.211 10.211 10.211 Å, 99.88 99.88 131.05°
Element x y z (fractional)
Rb  0.375  0.625  0.750
Rb  0.625  0.375  0.250
Pd  0.000  0.000  0.000
Pd  0.000  0.000  0.500
Pd  0.000  0.500  0.000
Pd  0.500  0.000  0.500
Pb  0.125  0.561  0.313
Pb  0.125  0.812  0.565
Pb  0.125  0.875  0.250
Pb  0.188  0.252  0.313
Pb  0.188  0.875  0.935
Pb  0.252  0.188  0.813
Pb  0.252  0.439  0.065
Pb  0.439  0.252  0.565
Pb  0.439  0.875  0.187
Pb  0.561  0.125  0.813
Pb  0.561  0.748  0.435
Pb  0.748  0.561  0.935
Pb  0.748  0.812  0.187
Pb  0.812  0.125  0.065
Pb  0.812  0.748  0.687
Pb  0.875  0.125  0.750
Pb  0.875  0.188  0.435
Pb  0.875  0.439  0.687

---

Record 3
## Rb3Pd6Pb5 (PBE)

Data for a relaxed Rb3Pd6Pb5 crystal.

Crystal system: orthorhombic
Formation enthalpy at 0 K: -163 meV per atom
Symmetry: Pmmn, No. 59

Cell: 4.385 13.514 12.978 Å, 90.00 90.00 90.00°
Element x y z (fractional)
Rb  0.250  0.111  0.234
Rb  0.250  0.389  0.234
Rb  0.250  0.750  0.236
Rb  0.750  0.250  0.764
Rb  0.750  0.611  0.766
Rb  0.750  0.889  0.766
Pd  0.250  0.066  0.869
Pd  0.250  0.250  0.538
Pd  0.250  0.250  0.984
Pd  0.250  0.434  0.869
Pd  0.250  0.573  0.486
Pd  0.250  0.927  0.486
Pd  0.750  0.073  0.514
Pd  0.750  0.427  0.514
Pd  0.750  0.566  0.131
Pd  0.750  0.750  0.016
Pd  0.750  0.750  0.462
Pd  0.750  0.934  0.131
Pb  0.250  0.069  0.644
Pb  0.250  0.431  0.644
Pb  0.250  0.607  0.998
Pb  0.250  0.750  0.588
Pb  0.250  0.893  0.998
Pb  0.750  0.107  0.002
Pb  0.750  0.250  0.412
Pb  0.750  0.393  0.002
Pb  0.750  0.569  0.356
Pb  0.750  0.931  0.356